## w
Li3InAu4: relaxed, PBE.

- Crystal system: monoclinic
- Mass density: 11.49 g cm⁻³

Cell: 14.129 4.460 4.461 Å, 90.00 108.32 90.00°
Space group C2/m (No. 12)
Inequivalent atoms, fractional coordinates:
Li: 0.000 0.000 0.000 x2
Li: 0.250 0.000 0.250 x4
In: 0.000 0.500 0.500 x2
Au: 0.137 0.000 0.637 x4
Au: 0.137 0.500 0.137 x4

***

## x
Li3InAu4: relaxed, PBE.

- Crystal system: orthorhombic
- Mass density: 11.01 g cm⁻³

Cell: 5.592 9.535 5.227 Å, 90.00 90.00 90.00°
Space group Imm2 (No. 44)
Inequivalent atoms, fractional coordinates:
Li: 0.000 0.000 0.000 x2
Li: 0.000 0.240 0.738 x4
In: 0.000 0.500 0.477 x2
Au: 0.000 0.242 0.237 x4
Au: 0.247 0.000 0.476 x4

***

It is w that is the most stable of them.